1.
A relaxed CrCo2MoAu crystal, computed with PBE.

Computed properties:
DFT formation energy	2.125	eV/atom

Structure (extended XYZ):
```
5
Lattice="4.5145 0.0000 0.0000 0.0000 4.5145 0.0000 0.0000 0.0000 4.5990" Properties=species:S:1:pos:R:3 pbc="T T T"
Cr 0.0000 0.0000 0.0000
Co 0.0000 2.2573 2.2995
Co 2.2573 0.0000 2.2995
Mo 2.2573 2.2573 0.0000
Au 0.0000 0.0000 2.2995
```

***

2.
A relaxed CrCo2AuN crystal, computed with PBE.

Computed properties:
formation energy (no corrections)	-47	meV per atom

Structure (extended XYZ):
```
5
Lattice="3.8868 0.0000 0.0000 0.0000 3.8868 0.0000 0.0000 0.0000 3.8626" Properties=species:S:1:pos:R:3 pbc="T T T"
Cr 0.0000 0.0000 0.0000
Co 0.0000 1.9434 1.9313
Co 1.9434 0.0000 1.9313
Au 1.9434 1.9434 0.0000
N 0.0000 0.0000 1.9313
```

***

3.
A relaxed Cr2CoAuN crystal, computed with PBE.

Computed properties:
formation energy (no corrections)	-77	meV per atom

Structure (extended XYZ):
```
5
Lattice="3.9408 0.0000 0.0000 0.0000 3.9408 0.0000 0.0000 0.0000 3.8759" Properties=species:S:1:pos:R:3 pbc="T T T"
Cr 0.0000 1.9704 0.0000
Cr 1.9704 0.0000 0.0000
Co 0.0000 0.0000 1.9379
Au 1.9704 1.9704 1.9379
N 0.0000 0.0000 0.0000
```

***

4.
A relaxed Cs2CoAu2 crystal, computed with PBE.

Computed properties:
DFT formation energy	0.318	eV/atom

Structure (extended XYZ):
```
10
Lattice="7.1088 0.0000 0.0000 0.0000 7.1088 0.0000 0.0000 0.0000 5.8663" Properties=species:S:1:pos:R:3 pbc="T T T"
Cs 1.2564 2.2980 0.0000
Cs 2.2980 5.8524 0.0000
Cs 4.8107 1.2564 0.0000
Cs 5.8524 4.8107 0.0000
Co 0.0000 0.0000 2.9331
Co 3.5544 3.5544 2.9331
Au 1.0853 4.6397 2.9331
Au 2.4691 1.0853 2.9331
Au 4.6397 6.0235 2.9331
Au 6.0235 2.4691 2.9331
```

***

5.
A relaxed CsCo2Au2 crystal, computed with PBE.

Computed properties:
DFT formation energy	0.566	eV/atom

Structure (extended XYZ):
```
5
Lattice="-2.3756 2.3756 6.1782 2.3756 -2.3756 6.1782 2.3756 2.3756 -6.1782" Properties=species:S:1:pos:R:3 pbc="T T T"
Cs 0.0000 0.0000 0.0000
Co 2.3756 0.0000 3.0891
Co 0.0000 2.3756 3.0891
Au 0.0000 0.0000 3.8876
Au 0.0000 0.0000 8.4689
```